1.
Compound: PSe3O
Source: Alexandria via LeMat-Bulk
Functional: PBE-GGA
Structure: relaxed

Cell and atoms, written as CIF:
```
data_PSe3O
_chemical_formula_sum 'P1 Se3 O1'
_cell_length_a 4.723
_cell_length_b 4.723
_cell_length_c 4.723
_cell_angle_alpha 90.00
_cell_angle_beta 90.00
_cell_angle_gamma 90.00
_symmetry_space_group_name_H-M 'P m -3 m'
_symmetry_Int_Tables_number 221
_symmetry_space_group_name_Hall '-P 4 2 3'
loop_
_atom_site_label
_atom_site_type_symbol
_atom_site_fract_x
_atom_site_fract_y
_atom_site_fract_z
_atom_site_occupancy
P1 P 0.000 0.000 0.000 1
Se1 Se 0.000 0.000 0.500 1
O1 O 0.500 0.500 0.500 1
```

## Properties
Formation energy (no corrections) in meV per atom: 1084
E in eV/atom: -3.08
ρ in Mg/m³: 4.47
Offset from the most stable computed form in meV/atom: 300

***

2.
Compound: PSe2O
Source: Alexandria via LeMat-Bulk
Functional: PBE-GGA
Structure: relaxed

Cell and atoms, written as CIF:
```
data_PSe2O
_chemical_formula_sum 'P4 Se8 O4'
_cell_length_a 6.165
_cell_length_b 6.165
_cell_length_c 6.165
_cell_angle_alpha 90.00
_cell_angle_beta 90.00
_cell_angle_gamma 90.00
_symmetry_space_group_name_H-M 'F m -3 m'
_symmetry_Int_Tables_number 225
_symmetry_space_group_name_Hall '-F 4 2 3'
loop_
_atom_site_label
_atom_site_type_symbol
_atom_site_fract_x
_atom_site_fract_y
_atom_site_fract_z
_atom_site_occupancy
P1 P 0.000 0.000 0.000 1
Se1 Se 0.250 0.250 0.250 1
O1 O 0.000 0.000 0.500 1
```

## Properties
Formation energy (no corrections) in meV per atom: 683
E in eV/atom: -3.65
ρ in Mg/m³: 5.81
Offset from the most stable computed form in meV/atom: 1148

***

3.
Compound: P2SeO
Source: Alexandria via LeMat-Bulk
Functional: PBE-GGA
Structure: relaxed

Cell and atoms, written as CIF:
```
data_P2SeO
_chemical_formula_sum 'P8 Se4 O4'
_cell_length_a 6.061
_cell_length_b 6.061
_cell_length_c 6.061
_cell_angle_alpha 90.00
_cell_angle_beta 90.00
_cell_angle_gamma 90.00
_symmetry_space_group_name_H-M 'F m -3 m'
_symmetry_Int_Tables_number 225
_symmetry_space_group_name_Hall '-F 4 2 3'
loop_
_atom_site_label
_atom_site_type_symbol
_atom_site_fract_x
_atom_site_fract_y
_atom_site_fract_z
_atom_site_occupancy
P1 P 0.250 0.250 0.250 1
Se1 Se 0.000 0.000 0.000 1
O1 O 0.000 0.000 0.500 1
```

## Properties
Formation energy (no corrections) in meV per atom: 720
E in eV/atom: -4.10
ρ in Mg/m³: 4.68
Offset from the most stable computed form in meV/atom: 548

***

4.
Compound: P2SeO2
Source: Alexandria via LeMat-Bulk
Functional: PBE-GGA
Structure: relaxed

Cell and atoms, written as CIF:
```
data_P2SeO2
_chemical_formula_sum 'P2 Se1 O2'
_cell_length_a 4.122
_cell_length_b 4.122
_cell_length_c 3.918
_cell_angle_alpha 90.00
_cell_angle_beta 90.00
_cell_angle_gamma 90.00
_symmetry_space_group_name_H-M 'P 4/m m m'
_symmetry_Int_Tables_number 123
_symmetry_space_group_name_Hall '-P 4 2'
loop_
_atom_site_label
_atom_site_type_symbol
_atom_site_fract_x
_atom_site_fract_y
_atom_site_fract_z
_atom_site_occupancy
P1 P 0.000 0.500 0.000 1
Se1 Se 0.000 0.000 0.500 1
O1 O 0.500 0.500 0.000 1
O2 O 0.500 0.500 0.500 1
```

## Properties
Formation energy (no corrections) in meV per atom: 762
E in eV/atom: -4.08
ρ in Mg/m³: 4.31
Offset from the most stable computed form in meV/atom: 1163

***

5.
Compound: P2SeO2
Source: Alexandria via LeMat-Bulk
Functional: PBE-GGA
Structure: relaxed

Cell and atoms, written as CIF:
```
data_P2SeO2
_chemical_formula_sum 'P2 Se1 O2'
_cell_length_a 3.427
_cell_length_b 3.427
_cell_length_c 5.452
_cell_angle_alpha 90.00
_cell_angle_beta 90.00
_cell_angle_gamma 90.00
_symmetry_space_group_name_H-M 'P 4/m m m'
_symmetry_Int_Tables_number 123
_symmetry_space_group_name_Hall '-P 4 2'
loop_
_atom_site_label
_atom_site_type_symbol
_atom_site_fract_x
_atom_site_fract_y
_atom_site_fract_z
_atom_site_occupancy
P1 P 0.000 0.000 0.000 1
P2 P 0.000 0.000 0.500 1
Se1 Se 0.500 0.500 0.000 1
O1 O 0.000 0.500 0.500 1
```

## Properties
Formation energy (no corrections) in meV per atom: -401
E in eV/atom: -5.24
ρ in Mg/m³: 4.49
Offset from the most stable computed form in meV/atom: 0

***

6.
Compound: PSe2O
Source: Alexandria via LeMat-Bulk
Functional: PBE-GGA
Structure: relaxed

Cell and atoms, written as CIF:
```
data_PSe2O
_chemical_formula_sum 'P2 Se4 O2'
_cell_length_a 9.185
_cell_length_b 4.621
_cell_length_c 5.055
_cell_angle_alpha 90.00
_cell_angle_beta 100.43
_cell_angle_gamma 90.00
_symmetry_space_group_name_H-M 'C 1 m 1'
_symmetry_Int_Tables_number 8
loop_
_symmetry_equiv_pos_as_xyz
'x,y,z'
'x,-y,z'
'x+1/2,y+1/2,z'
'x+1/2,-y+1/2,z'
loop_
_atom_site_label
_atom_site_type_symbol
_atom_site_fract_x
_atom_site_fract_y
_atom_site_fract_z
_atom_site_occupancy
P1 P 0.000 0.000 0.000 1
Se1 Se 0.115 0.500 0.973 1
Se2 Se 0.278 0.500 0.669 1
O1 O 0.463 0.500 0.278 1
```

## Properties
Formation energy (no corrections) in meV per atom: -462
E in eV/atom: -4.80
ρ in Mg/m³: 3.22
Offset from the most stable computed form in meV/atom: 3

***

7.
Compound: PSe2O
Source: Alexandria via LeMat-Bulk
Functional: PBE-GGA
Structure: relaxed

Cell and atoms, written as CIF:
```
data_PSe2O
_chemical_formula_sum 'P1 Se2 O1'
_cell_length_a 3.611
_cell_length_b 5.530
_cell_length_c 5.658
_cell_angle_alpha 109.45
_cell_angle_beta 104.14
_cell_angle_gamma 91.62
_symmetry_space_group_name_H-M 'P 1'
_symmetry_Int_Tables_number 1
loop_
_symmetry_equiv_pos_as_xyz
'x,y,z'
loop_
_atom_site_label
_atom_site_type_symbol
_atom_site_fract_x
_atom_site_fract_y
_atom_site_fract_z
_atom_site_occupancy
P1 P 0.000 0.000 0.000 1
Se1 Se 0.469 0.214 0.874 1
Se2 Se 0.988 0.235 0.394 1
O1 O 0.984 0.714 0.895 1
```

## Properties
Formation energy (no corrections) in meV per atom: -441
E in eV/atom: -4.78
ρ in Mg/m³: 3.32
Offset from the most stable computed form in meV/atom: 23

***

8.
Compound: PSe2O
Source: Alexandria via LeMat-Bulk
Functional: PBE-GGA
Structure: relaxed

Cell and atoms, written as CIF:
```
data_PSe2O
_chemical_formula_sum 'P2 Se4 O2'
_cell_length_a 9.327
_cell_length_b 3.693
_cell_length_c 5.130
_cell_angle_alpha 90.00
_cell_angle_beta 101.51
_cell_angle_gamma 90.00
_symmetry_space_group_name_H-M 'C 1 m 1'
_symmetry_Int_Tables_number 8
loop_
_symmetry_equiv_pos_as_xyz
'x,y,z'
'x,-y,z'
'x+1/2,y+1/2,z'
'x+1/2,-y+1/2,z'
loop_
_atom_site_label
_atom_site_type_symbol
_atom_site_fract_x
_atom_site_fract_y
_atom_site_fract_z
_atom_site_occupancy
P1 P 0.000 0.000 0.000 1
Se1 Se 0.132 0.500 0.359 1
Se2 Se 0.452 0.000 0.609 1
O1 O 0.345 0.500 0.044 1
```

## Properties
Formation energy (no corrections) in meV per atom: -427
E in eV/atom: -4.76
ρ in Mg/m³: 3.93
Offset from the most stable computed form in meV/atom: 38